(1)
As2RuPt | GGA-PBE | relaxed

Summary:
Polymorph energy (0 for the lowest one) ... 282 meV per atom
ΔE_f ... 132 meV/atom
Fermi-level density of states ... 1.064 states/eV/atom
SG ... Fm-3m (225)

abc: 4.4797 4.4797 4.4797
angles: 60.00 60.00 60.00
With the nearest neighbours (Å) after each atom.
Fractional coordinates of all 4 atoms:
As  0.2500  0.2500  0.2500  4 Pt 2.74, 4 Ru 2.74
As  0.7500  0.7500  0.7500  4 Ru 2.74, 4 Pt 2.74
Pt  0.5000  0.5000  0.5000  8 As 2.74
Ru  0.0000  0.0000  0.0000  8 As 2.74

---

(2)
AsRu2Pt | GGA-PBE | relaxed

Summary:
ΔE_f ... 88 meV/atom
Fermi-level density of states ... 0.950 states/eV/atom
SG ... C2/m (12)

abc: 4.7954 4.7954 4.8076
angles: 71.99 71.99 34.72
With the nearest neighbours (Å) after each atom.
Fractional coordinates of all 4 atoms:
Ru  0.0245  0.0245  0.9951  2 As 2.47, 1 Pt 2.72, 2 Ru 2.75
Ru  0.4755  0.4755  0.5049  2 As 2.47, 1 Pt 2.72, 2 Ru 2.75
As  0.7500  0.7500  0.7500  4 Ru 2.47
Pt  0.2500  0.2500  0.2500  6 Ru 2.72-2.81, 4 As 2.80, 2 Pt 2.86

---

(3)
As2RuPt | GGA-PBE | relaxed

Summary:
Polymorph energy (0 for the lowest one) ... 112 meV per atom
ΔE_f ... -39 meV/atom
Fermi-level density of states ... 0.575 states/eV/atom
SG ... I-42d (122)

abc: 5.5828 5.5828 6.7629
angles: 65.62 65.62 90.00
With the nearest neighbours (Å) after each atom.
Fractional coordinates of all 8 atoms:
As  0.8750  0.8639  0.7500  2 Ru 2.37, 2 Pt 2.44
As  0.6139  0.1250  0.2500  2 Ru 2.37, 2 Pt 2.44
As  0.1361  0.6250  0.2500  2 Ru 2.37, 2 Pt 2.44
As  0.3750  0.3861  0.7500  2 Ru 2.37, 2 Pt 2.44
Ru  0.2500  0.7500  0.5000  4 As 2.37
Ru  0.5000  0.5000  0.0000  4 As 2.37
Pt  0.0000  0.0000  0.0000  4 As 2.44
Pt  0.7500  0.2500  0.5000  4 As 2.44

---

(4)
AsRu2Pt | GGA-PBE | relaxed

Summary:
ΔE_f ... 127 meV/atom
Fermi-level density of states ... 1.388 states/eV/atom
SG ... Imm2 (44)

abc: 5.1819 5.1819 5.1819
angles: 145.65 130.29 61.82
With the nearest neighbours (Å) after each atom.
Fractional coordinates of all 4 atoms:
Ru  0.9991  0.9991  0.0000  4 As 2.66, 4 Pt 2.92-2.93, 4 Ru 2.92-2.93
Ru  0.7188  0.2188  0.5000  2 As 2.45, 4 Pt 2.72
As  0.5030  0.5030  0.0000  6 Ru 2.45-2.66, 2 Pt 2.51
Pt  0.2791  0.7791  0.5000  2 As 2.51, 4 Ru 2.72

---

(5)
AsRu2Pt | GGA-PBE | relaxed

Summary:
ΔE_f ... 77 meV/atom
Fermi-level density of states ... 0.817 states/eV/atom
SG ... Cm (8)

abc: 4.7710 4.7710 4.6099
angles: 86.88 86.88 35.26
With the nearest neighbours (Å) after each atom.
Fractional coordinates of all 4 atoms:
Ru  0.0061  0.0061  0.9769  2 As 2.53, 3 Ru 2.68-2.73, 3 Pt 2.73-2.81
Ru  0.7342  0.7342  0.7559  1 As 2.49, 3 Ru 2.68-2.73, 2 Pt 2.68
Pt  0.2680  0.2680  0.2375  1 As 2.50, 5 Ru 2.68-2.79
As  0.4916  0.4916  0.5297  3 Ru 2.49-2.53, 1 Pt 2.50

---

(6)
As2RuPt | GGA-PBE | relaxed

Summary:
Polymorph energy (0 for the lowest one) ... 556 meV per atom
ΔE_f ... 406 meV/atom
Fermi-level density of states ... 0.963 states/eV/atom
SG ... F-43m (216)

abc: 4.5200 4.5200 4.5200
angles: 60.00 60.00 60.00
With the nearest neighbours (Å) after each atom.
Fractional coordinates of all 4 atoms:
Ru  0.7500  0.7500  0.7500  4 Pt 2.77, 4 As 2.77
Pt  0.5000  0.5000  0.5000  4 As 2.77, 4 Ru 2.77
As  0.2500  0.2500  0.2500  4 As 2.77, 4 Pt 2.77
As  0.0000  0.0000  0.0000  4 Ru 2.77, 4 As 2.77

---

> Number 4 is which compound?

AsRu2Pt

---

> What is the Fermi-level density of states in the first record?

1.064 states/eV/atom

---

> Look up the ΔE_f of the fifth one.

77 meV/atom